(1)
6
Lattice="-4.3358 -3.7357 0.9781 -2.7895 -2.4442 -4.4672 0.7230 -5.6482 -1.1344" Properties=species:S:1:pos:R:3 comment="TlP4Cl meta-GGA SCAN single point on PBEsol structure" total_magnetization_mub_per_cell=0.00 e_form_raw_ev_per_atom=-0.1344 pbc="T T T"
Cl 0.0000 0.0000 0.0000
P -2.2061 -4.0758 -1.5932
P -1.7566 -7.5870 -2.2984
P -4.9015 -6.3981 -0.9851
P -3.9402 -5.5952 -4.3703
Tl -4.8017 -8.8710 -3.4676

=====

(2)
4
Lattice="-0.6309 -0.1019 3.7435 -2.8453 -0.5707 -2.4214 1.5666 -8.0064 0.0460" Properties=species:S:1:pos:R:3 comment="TlPCl2 meta-GGA SCAN single point on PBEsol structure" total_magnetization_mub_per_cell=0.00 e_form_raw_ev_per_atom=-0.0092 pbc="T T T"
Cl 1.5096 -7.7153 0.0444
Cl 0.1884 -2.6261 1.8865
P 0.7558 -3.8626 0.0222
Tl 0.8317 -5.9139 1.9054

=====

(3)
5
Lattice="-4.8454 1.3311 -0.4544 -1.3114 -3.6864 3.1853 0.4902 3.0639 3.7477" Properties=species:S:1:pos:R:3 comment="Y2TlPCl meta-GGA SCAN single point on PBEsol structure" total_magnetization_mub_per_cell=0.00 e_form_raw_ev_per_atom=-0.2576 pbc="T T T"
Y -0.6557 -1.8432 1.5927
Y -2.4227 0.6655 -0.2272
P 0.2451 1.5319 1.8738
Tl -2.8333 0.3543 3.2393
Cl 0.0000 0.0000 0.0000

=====

Number 1: total DFT energy (no corrections) -20.456 eV/atom. Number 2: total DFT energy (no corrections) -24.687 eV/atom. Number 3: total DFT energy (no corrections) -29.542 eV/atom.